1.
Below is Ag7Au6 after structural relaxation, with properties calculated at the PBE level.

```
Ag7Au6
1.0
2.707 1.563 9.534
-2.707 1.563 9.534
0.000 -3.126 9.534
Ag Au
7 6
direct
0.000 0.000 0.000
0.088 0.088 0.584
0.088 0.584 0.088
0.416 0.912 0.912
0.584 0.088 0.088
0.912 0.416 0.912
0.912 0.912 0.416
0.166 0.166 0.166
0.347 0.347 0.347
0.451 0.451 0.451
0.549 0.549 0.549
0.653 0.653 0.653
0.834 0.834 0.834
```

Computed properties:
Final energy (eV per atom): -2.913
DOS(E_F) (states/eV/cell): 3.22
M_tot (μB/atom): 0.00

2.
Below is Ag3Au2 after structural relaxation, with properties calculated at the PBE level.

```
Ag3Au2
1.0
4.596 0.000 0.000
-2.298 3.980 0.000
0.000 0.000 5.589
Ag Au
3 2
direct
0.000 0.000 0.000
0.333 0.667 0.357
0.667 0.333 0.643
0.333 0.667 0.849
0.667 0.333 0.151
```

Computed properties:
Final energy (eV per atom): -2.919
DOS(E_F) (states/eV/cell): 1.65
M_tot (μB/atom): 0.00

3.
Below is Ag13Au2 after structural relaxation, with properties calculated at the PBE level.

```
Ag13Au2
1.0
5.148 0.000 0.000
0.086 7.162 0.000
0.835 2.406 7.286
Ag Au
13 2
direct
0.000 0.000 0.000
0.134 0.266 0.201
0.200 0.399 0.801
0.267 0.533 0.400
0.333 0.665 0.999
0.400 0.799 0.600
0.466 0.933 0.199
0.534 0.067 0.801
0.600 0.201 0.400
0.667 0.335 0.001
0.733 0.467 0.600
0.800 0.601 0.199
0.866 0.734 0.799
0.067 0.134 0.601
0.933 0.866 0.399
```

Computed properties:
Final energy (eV per atom): -2.909
DOS(E_F) (states/eV/cell): 3.99
M_tot (μB/atom): 0.00

4.
Below is Ag3Au after structural relaxation, with properties calculated at the PBE level.

```
Ag3Au
1.0
5.275 0.000 0.000
0.000 5.275 0.000
0.000 0.000 5.275
Ag Au
3 1
direct
0.000 0.000 0.500
0.000 0.500 0.000
0.500 0.000 0.000
0.000 0.000 0.000
```

Computed properties:
Final energy (eV per atom): -2.161
DOS(E_F) (states/eV/cell): 2.92
M_tot (μB/atom): 0.00

5.
Below is Ag3Au after structural relaxation, with properties calculated at the PBE level.

```
Ag3Au
1.0
2.918 0.000 0.000
0.000 4.839 0.000
0.000 0.000 5.087
Ag Au
3 1
direct
0.000 0.000 0.000
0.000 0.500 0.333
0.500 0.000 0.500
0.500 0.500 0.833
```

Computed properties:
Final energy (eV per atom): -2.982
DOS(E_F) (states/eV/cell): 0.59
M_tot (μB/atom): 0.00

6.
Below is Ag3Au after structural relaxation, with properties calculated at the PBE level.

```
Ag3Au
1.0
5.286 0.000 0.000
0.000 5.286 0.000
0.000 0.000 5.286
Ag Au
6 2
direct
0.000 0.250 0.500
0.000 0.750 0.500
0.250 0.500 0.000
0.500 0.000 0.250
0.500 0.000 0.750
0.750 0.500 0.000
0.000 0.000 0.000
0.500 0.500 0.500
```

Computed properties:
Final energy (eV per atom): -2.895
DOS(E_F) (states/eV/cell): 2.19
M_tot (μB/atom): 0.00

7.
Below is Ag11Au3 after structural relaxation, with properties calculated at the PBE level.

```
Ag11Au3
1.0
-2.363 4.215 6.607
2.363 -4.215 6.607
2.363 4.215 -6.607
Ag Au
11 3
direct
0.000 0.000 0.000
0.124 0.288 0.837
0.192 0.692 0.500
0.226 0.897 0.328
0.431 0.103 0.328
0.451 0.288 0.163
0.549 0.712 0.837
0.569 0.897 0.672
0.774 0.103 0.672
0.808 0.308 0.500
0.876 0.712 0.163
0.174 0.500 0.674
0.500 0.500 0.000
0.826 0.500 0.326
```

Computed properties:
Final energy (eV per atom): -2.874
DOS(E_F) (states/eV/cell): 3.02
M_tot (μB/atom): 0.00

8.
Below is Ag3Au after structural relaxation, with properties calculated at the PBE level.

```
Ag3Au
1.0
4.824 -1.469 0.000
4.824 1.469 0.000
-0.888 0.000 5.069
Ag Au
3 1
direct
0.000 0.000 0.000
0.249 0.249 0.750
0.751 0.751 0.250
0.500 0.500 0.500
```

Computed properties:
Final energy (eV per atom): -2.963
DOS(E_F) (states/eV/cell): 1.37
M_tot (μB/atom): 0.00

9.
Below is AgAu6 after structural relaxation, with properties calculated at the PBE level.

```
AgAu6
1.0
4.088 0.000 0.000
0.000 4.088 0.000
0.000 0.000 8.129
Ag Au
1 6
direct
0.000 0.000 0.000
0.000 0.000 0.500
0.000 0.500 0.262
0.000 0.500 0.738
0.500 0.000 0.262
0.500 0.000 0.738
0.500 0.500 0.000
```

Computed properties:
Final energy (eV per atom): -3.181
DOS(E_F) (states/eV/cell): 1.40
M_tot (μB/atom): 0.00

10.
Below is Ag3Au2 after structural relaxation, with properties calculated at the PBE level.

```
Ag3Au2
1.0
-1.459 1.459 10.522
1.459 -1.459 10.522
1.459 1.459 -10.522
Ag Au
3 2
direct
0.000 0.000 0.000
0.200 0.200 0.000
0.800 0.800 0.000
0.400 0.400 0.000
0.600 0.600 0.000
```

Computed properties:
Final energy (eV per atom): -3.060
DOS(E_F) (states/eV/cell): 1.15
M_tot (μB/atom): 0.00

11.
Below is Ag5Au after structural relaxation, with properties calculated at the PBE level.

```
Ag5Au
1.0
5.071 0.000 0.000
-2.536 4.392 0.000
0.000 0.000 4.844
Ag Au
5 1
direct
0.000 0.667 0.000
0.333 0.333 0.000
0.333 0.667 0.500
0.667 0.000 0.000
0.667 0.333 0.500
0.000 0.000 0.500
```

Computed properties:
Final energy (eV per atom): -2.931
DOS(E_F) (states/eV/cell): 2.18
M_tot (μB/atom): 0.00

12.
Below is Ag2Au7 after structural relaxation, with properties calculated at the PBE level.

```
Ag2Au7
1.0
5.080 0.000 0.000
-2.540 4.400 0.000
0.000 0.000 7.234
Ag Au
2 7
direct
0.333 0.667 0.000
0.667 0.333 0.000
0.000 0.000 0.000
0.000 0.333 0.669
0.000 0.667 0.331
0.333 0.000 0.669
0.333 0.333 0.331
0.667 0.000 0.331
0.667 0.667 0.669
```

Computed properties:
Final energy (eV per atom): -3.207
DOS(E_F) (states/eV/cell): 4.20
M_tot (μB/atom): 0.00

13.
Below is AgB3Au after structural relaxation, with properties calculated at the PBE level.

```
AgB3Au
1.0
4.231 0.000 0.000
0.000 4.231 0.000
0.000 0.000 4.231
Ag B Au
1 3 1
direct
0.000 0.000 0.000
0.000 0.500 0.500
0.500 0.000 0.500
0.500 0.500 0.000
0.500 0.500 0.500
```

Computed properties:
Final energy (eV per atom): -3.426
DOS(E_F) (states/eV/cell): 2.83
M_tot (μB/atom): 0.00

14.
Below is AgB2Au after structural relaxation, with properties calculated at the PBE level.

```
AgB2Au
1.0
-2.621 2.621 4.619
2.621 -2.621 4.619
2.621 2.621 -4.619
Ag B Au
2 4 2
direct
0.000 0.000 0.000
0.750 0.250 0.500
0.140 0.625 0.015
0.375 0.390 0.515
0.610 0.125 0.985
0.875 0.860 0.485
0.250 0.750 0.500
0.500 0.500 0.000
```

Computed properties:
Final energy (eV per atom): -3.751
DOS(E_F) (states/eV/cell): 3.46
M_tot (μB/atom): 0.00

15.
Below is Ag4B2Au after structural relaxation, with properties calculated at the PBE level.

```
Ag4B2Au
1.0
-2.562 2.562 5.608
2.562 -2.562 5.608
2.562 2.562 -5.608
Ag B Au
4 2 1
direct
0.000 0.500 0.500
0.245 0.245 0.000
0.500 0.000 0.500
0.755 0.755 0.000
0.431 0.431 0.000
0.569 0.569 0.000
0.000 0.000 0.000
```

Computed properties:
Final energy (eV per atom): -3.163
DOS(E_F) (states/eV/cell): 2.60
M_tot (μB/atom): 0.00

16.
Below is AgB3Au after structural relaxation, with properties calculated at the PBE level.

```
AgB3Au
1.0
4.214 0.000 0.000
0.000 4.214 0.000
0.000 0.000 4.214
Ag B Au
1 3 1
direct
0.000 0.000 0.000
0.000 0.000 0.500
0.000 0.500 0.000
0.500 0.000 0.000
0.500 0.500 0.500
```

Computed properties:
Final energy (eV per atom): -3.183
DOS(E_F) (states/eV/cell): 2.61
M_tot (μB/atom): 0.00

17.
Below is AgB2Au after structural relaxation, with properties calculated at the PBE level.

```
AgB2Au
1.0
0.000 2.915 2.915
2.915 0.000 2.915
2.915 2.915 0.000
Ag B Au
1 2 1
direct
0.000 0.000 0.000
0.250 0.250 0.250
0.750 0.750 0.750
0.500 0.500 0.500
```

Computed properties:
Final energy (eV per atom): -3.529
DOS(E_F) (states/eV/cell): 1.55
M_tot (μB/atom): 0.00

18.
Below is AgBAuCl2 after structural relaxation, with properties calculated at the PBE level.

```
AgBAuCl2
1.0
4.984 0.000 0.000
0.000 4.984 0.000
0.000 0.000 5.444
Ag B Au Cl
1 1 1 2
direct
0.000 0.000 0.000
0.500 0.500 0.000
0.000 0.000 0.500
0.000 0.500 0.500
0.500 0.000 0.500
```

Computed properties:
Final energy (eV per atom): -2.180
DOS(E_F) (states/eV/cell): 3.66
Energy relative to the elements, uncorrected (eV per atom): 1.120
M_tot (μB/atom): 0.09

19.
Below is CoAgB2Au after structural relaxation, with properties calculated at the PBE level.

```
CoAgB2Au
1.0
3.802 0.000 0.000
0.000 3.802 0.000
0.000 0.000 5.073
Co Ag B Au
1 1 2 1
direct
0.000 0.000 0.000
0.000 0.000 0.500
0.000 0.500 0.000
0.500 0.000 0.000
0.500 0.500 0.500
```

Computed properties:
Final energy (eV per atom): -4.415
DOS(E_F) (states/eV/cell): 2.55
M_tot (μB/atom): 0.00

20.
Below is Cu2AgBAu after structural relaxation, with properties calculated at the PBE level.

```
Cu2AgBAu
1.0
4.732 0.000 0.000
0.000 4.732 0.000
0.000 0.000 5.102
Cu Ag B Au
2 1 1 1
direct
0.000 0.500 0.000
0.500 0.000 0.000
0.000 0.000 0.000
0.500 0.500 0.500
0.000 0.000 0.500
```

Computed properties:
Final energy (eV per atom): -2.450
DOS(E_F) (states/eV/cell): 1.49
M_tot (μB/atom): 0.00